VASP calculation (PBE) on a geometry-optimized TeSNF2 structure.

Cell: 4.258 4.258 4.344 Å, 90.00 90.00 90.00°
Positions (direct):
1 Te 0.000 0.000 0.000
2 S 0.500 0.500 0.500
3 N 0.000 0.000 0.500
4 F 0.000 0.500 0.000
5 F 0.500 0.000 0.000

uncorrected energy = -18.2 eV for the cell shown
distance to the lowest polymorph of the same formula = 0.0082 eV/atom
DOS at the Fermi energy = 3.3 states/eV/cell
uncorrected formation energy = 0.24 eV/atom
volume = 15.75 A^3/atom
spin magnetization = 0.639 μB per cell

VASP calculation (PBE) on a geometry-optimized HoEr5Tl6 structure.

Cell: 9.247 9.247 5.336 Å, 106.70 106.70 120.32°
Positions (direct):
1 Ho 0.000 0.000 0.000
2 Er 0.166 0.834 0.500
3 Er 0.333 0.667 0.000
4 Er 0.500 0.500 0.500
5 Er 0.667 0.333 0.000
6 Er 0.834 0.166 0.500
7 Tl 0.083 0.417 0.250
8 Tl 0.251 0.251 0.751
9 Tl 0.417 0.083 0.250
10 Tl 0.583 0.917 0.750
11 Tl 0.749 0.749 0.249
12 Tl 0.917 0.583 0.750

uncorrected energy = -45.3 eV for the cell shown
distance to the lowest polymorph of the same formula = 0.0000 eV/atom
DOS at the Fermi energy = 9.5 states/eV/cell
volume = 26.80 A^3/atom
spin magnetization = 0.000 μB per cell
ΔE_f = -312 meV per atom

VASP calculation (PBE) on a geometry-optimized CdCu2Au6 structure.

Cell: 8.567 8.567 4.206 Å, 90.00 90.00 90.00°
Positions (direct):
1 Cd 0.000 0.000 0.000
2 Cd 0.500 0.500 0.500
3 Cu 0.175 0.175 0.500
4 Cu 0.325 0.675 0.000
5 Cu 0.675 0.325 0.000
6 Cu 0.825 0.825 0.500
7 Au 0.001 0.330 0.000
8 Au 0.162 0.838 0.500
9 Au 0.170 0.501 0.500
10 Au 0.330 0.001 0.000
11 Au 0.338 0.338 0.000
12 Au 0.499 0.830 0.500
13 Au 0.501 0.170 0.500
14 Au 0.662 0.662 0.000
15 Au 0.670 0.999 0.000
16 Au 0.830 0.499 0.500
17 Au 0.838 0.162 0.500
18 Au 0.999 0.670 0.000

uncorrected energy = -58.3 eV for the cell shown
DOS at the Fermi energy = 4.7 states/eV/cell
volume = 17.15 A^3/atom
spin magnetization = 0.000 μB per cell
ΔE_f = -41 meV per atom